Crystalline MgAl2Se at its relaxed geometry, computed with GGA-PBE.

energy: -3.21 eV per atom
total magnetization: 0.00 μB per formula unit

Cell and atoms, written as CIF:
```
data_MgAl2Se
_symmetry_space_group_name_H-M 'I m m 2'
_symmetry_Int_Tables_number 44
_cell_length_a 3.433
_cell_length_b 5.093
_cell_length_c 9.041
_cell_angle_alpha 90.00
_cell_angle_beta 90.00
_cell_angle_gamma 90.00
loop_
_symmetry_equiv_pos_as_xyz
'x,y,z'
'-x,-y,z'
'-x,y,z'
'x,-y,z'
'x+1/2,y+1/2,z+1/2'
'-x+1/2,-y+1/2,z+1/2'
'-x+1/2,y+1/2,z+1/2'
'x+1/2,-y+1/2,z+1/2'
loop_
_atom_site_label
_atom_site_type_symbol
_atom_site_fract_x
_atom_site_fract_y
_atom_site_fract_z
Mg1 Mg 0.000 0.000 0.000
Al1 Al 0.000 0.000 0.531
Al2 Al 0.000 0.500 0.777
Se1 Se 0.000 0.500 0.249
```

---

Crystalline MgAl2Se at its relaxed geometry, computed with GGA-PBE.

energy: -3.24 eV per atom
total magnetization: 0.00 μB per formula unit

Cell and atoms, written as CIF:
```
data_MgAl2Se
_symmetry_space_group_name_H-M 'P 4/m m m'
_symmetry_Int_Tables_number 123
_symmetry_space_group_name_Hall '-P 4 2'
_cell_length_a 3.820
_cell_length_b 3.820
_cell_length_c 5.757
_cell_angle_alpha 90.00
_cell_angle_beta 90.00
_cell_angle_gamma 90.00
loop_
_atom_site_label
_atom_site_type_symbol
_atom_site_fract_x
_atom_site_fract_y
_atom_site_fract_z
Mg1 Mg 0.000 0.000 0.000
Al1 Al 0.000 0.500 0.500
Se1 Se 0.500 0.500 0.000
```